1.
LaHfAuCl | PBE-GGA | relaxed

Properties
The energy above the most stable polymorph in this dataset is 61 meV per atom. Its space-group type is P3m1.

Cell: 4.385 4.385 7.125 Å, 90.00 90.00 120.00°
Sites, in units of the cell vectors:
Hf 0.000 0.000 0.606
Cl 0.000 0.000 0.967
Au 0.333 0.667 0.475
La 0.667 0.333 0.231

***

2.
LaHfAuCl | PBE-GGA | relaxed

Properties
The energy above the most stable polymorph in this dataset is 0 meV per atom. Its space-group type is Pm.

Cell: 3.530 4.438 6.378 Å, 90.00 105.99 90.00°
Sites, in units of the cell vectors:
Hf 0.807 0.500 0.537
Cl 0.602 0.500 0.124
Au 0.331 0.000 0.585
La 0.057 0.000 0.034

***

3.
LaHfAuCl | PBE-GGA | relaxed

Properties
The energy above the most stable polymorph in this dataset is 12 meV per atom. Its space-group type is Amm2.

Cell: 3.675 4.252 12.488 Å, 90.00 90.00 90.00°
Sites, in units of the cell vectors:
Hf 0.000 0.000 0.332
Hf 0.000 0.500 0.832
Cl 0.000 0.000 0.537
Cl 0.000 0.500 0.037
Au 0.500 0.000 0.807
Au 0.500 0.500 0.307
La 0.500 0.000 0.088
La 0.500 0.500 0.588

***

4.
LaHfAuCl | PBE-GGA | relaxed

Properties
The energy above the most stable polymorph in this dataset is 32 meV per atom. Its space-group type is Amm2.

Cell: 3.563 3.430 14.728 Å, 90.00 90.00 90.00°
Sites, in units of the cell vectors:
Hf 0.000 0.000 0.339
Hf 0.000 0.500 0.839
Cl 0.500 0.000 0.473
Cl 0.500 0.500 0.973
Au 0.500 0.000 0.741
Au 0.500 0.500 0.241
La 0.000 0.000 0.086
La 0.000 0.500 0.586

***

Energy relative to the elements, uncorrected? In order: -0.753 -0.814 -0.802 -0.782 eV per atom.